Entry 1:
The following is a GGA-PBE calculation of a relaxed BaMnSe3 crystal, from Alexandria via LeMat-Bulk.

Properties
* raw formation energy: -982 meV/atom
* size of the total moment: 3.8 μB/f.u.
* symmetry: No. 6

a = 6.8200 Å, b = 6.5082 Å, c = 6.7497 Å
α = 90.00°, β = 104.27°, γ = 90.02°
Closest atoms and distances in Å follow each position.
Sites, in units of the cell vectors:
Se 0.4032 0.1808 0.5659  2 Mn 2.56
Se 0.6866 0.6810 0.0429  2 Mn 2.45, 1 Se 2.60
Se 0.2108 0.6808 0.7842  2 Mn 2.53
Se 0.2548 0.1808 0.0687  2 Mn 2.50
Se 0.7585 0.1810 0.0401  2 Mn 2.43
Mn 0.4663 0.9670 0.8933  5 Se 2.43-2.56
Se 0.8848 0.6808 0.4245  2 Se 2.60-2.86
Ba 0.9152 0.1808 0.6043  7 Se 3.37-3.69
Ba 0.3325 0.6807 0.3252  9 Se 3.28-3.66
Mn 0.4663 0.3950 0.8933  5 Se 2.43-2.56



Entry 2:
The following is a GGA-PBE calculation of a relaxed BaMnSe3 crystal, from Alexandria via LeMat-Bulk.

Properties
* raw formation energy: -993 meV/atom
* size of the total moment: 3.0 μB/f.u.
* symmetry: No. 74

a = 5.9263 Å, b = 12.9841 Å, c = 8.0570 Å
α = 90.00°, β = 90.00°, γ = 90.00°
Closest atoms and distances in Å follow each position.
Sites, in units of the cell vectors:
Se 0.0001 0.1151 0.1248  2 Mn 2.51
Se 0.4999 0.8849 0.6248  2 Mn 2.51
Se 0.5002 0.2500 0.0001  2 Mn 2.50
Se 0.9998 0.7500 0.5001  2 Mn 2.50
Mn 0.7502 0.2500 0.2501  6 Se 2.50-2.51
Se 0.0001 0.3849 0.1248  2 Mn 2.51
Se 0.4998 0.7500 0.9999  2 Mn 2.50
Se 0.5001 0.1151 0.3752  2 Mn 2.51
Se 0.5001 0.3849 0.3752  2 Mn 2.51
Se 0.9999 0.6151 0.8752  2 Mn 2.51
Ba 0.5000 0.5000 0.0000  8 Se 3.25-3.47
Ba 0.5000 0.0000 0.0000  8 Se 3.25-3.47
Ba 0.0000 0.5000 0.5000  8 Se 3.25-3.47
Se 0.4999 0.6151 0.6248  2 Mn 2.51
Mn 0.2502 0.2500 0.2499  6 Se 2.50-2.51
Se 0.9999 0.8849 0.8752  2 Mn 2.51
Se 0.0002 0.2500 0.4999  2 Mn 2.50
Mn 0.7498 0.7500 0.7501  6 Se 2.50-2.51
Ba 0.0000 0.0000 0.5000  8 Se 3.25-3.47
Mn 0.2498 0.7500 0.7499  6 Se 2.50-2.51



Entry 3:
The following is a GGA-PBE calculation of a relaxed Ba2MnSe crystal, from Alexandria via LeMat-Bulk.

Properties
* raw formation energy: 53 meV/atom
* size of the total moment: 3.3 μB/f.u.
* symmetry: No. 216

a = 5.6410 Å, b = 5.6410 Å, c = 5.6410 Å
α = 60.00°, β = 60.00°, γ = 60.00°
Closest atoms and distances in Å follow each position.
Sites, in units of the cell vectors:
Mn 0.5000 0.5000 0.5000  4 Se 3.45, 4 Ba 3.45
Ba 0.0000 0.0000 0.0000  4 Ba 3.45, 4 Se 3.45
Ba 0.2500 0.2500 0.2500  4 Ba 3.45, 4 Mn 3.45
Se 0.7500 0.7500 0.7500  4 Mn 3.45, 4 Ba 3.45



Entry 4:
The following is a GGA-PBE calculation of a relaxed BaMnSe3 crystal, from Alexandria via LeMat-Bulk.

Properties
* raw formation energy: -675 meV/atom
* size of the total moment: 4.4 μB/f.u.
* symmetry: No. 38

a = 4.2388 Å, b = 8.6726 Å, c = 8.6726 Å
α = 142.39°, β = 90.00°, γ = 90.00°
Closest atoms and distances in Å follow each position.
Sites, in units of the cell vectors:
Se 0.5000 0.6825 0.8082  2 Mn 2.63, 2 Se 2.74-2.85
Se 0.5000 0.1918 0.3175  2 Mn 2.63, 2 Se 2.74-2.85
Mn 0.0000 0.3921 0.6079  5 Se 2.42-2.63
Ba 0.5000 0.1169 0.8831  4 Se 2.98-3.28
Se 0.0000 0.2448 0.7552  1 Mn 2.42



Entry 5:
The following is a GGA-PBE calculation of a relaxed BaMnSe3 crystal, from Alexandria via LeMat-Bulk.

Properties
* raw formation energy: -632 meV/atom
* size of the total moment: 0.0 μB/f.u.
* symmetry: No. 63

a = 8.6509 Å, b = 8.6509 Å, c = 6.6553 Å
α = 90.00°, β = 90.00°, γ = 142.88°
Closest atoms and distances in Å follow each position.
Sites, in units of the cell vectors:
Se 0.4642 0.0759 0.2500  1 Mn 2.29, 1 Se 2.53
Se 0.5358 0.9241 0.7500  1 Mn 2.29, 1 Se 2.53
Se 0.0000 0.0000 0.5000  2 Mn 2.20
Se 0.9241 0.5358 0.2500  1 Mn 2.29, 1 Se 2.53
Se 0.0000 0.0000 0.0000  2 Mn 2.20
Mn 0.9118 0.0882 0.7500  4 Se 2.20-2.29
Ba 0.3771 0.6229 0.2500  6 Se 3.35-3.75
Ba 0.6229 0.3771 0.7500  6 Se 3.35-3.75
Se 0.0759 0.4642 0.7500  1 Mn 2.29, 1 Se 2.53
Mn 0.0882 0.9118 0.2500  4 Se 2.20-2.29



Entry 6:
The following is a GGA-PBE calculation of a relaxed Ba2MnSe crystal, from Alexandria via LeMat-Bulk.

Properties
* raw formation energy: -418 meV/atom
* size of the total moment: 3.5 μB/f.u.
* symmetry: No. 99

a = 4.7647 Å, b = 4.7647 Å, c = 6.7705 Å
α = 90.00°, β = 90.00°, γ = 90.00°
Closest atoms and distances in Å follow each position.
Sites, in units of the cell vectors:
Mn 0.0000 0.0000 0.3762  6 Ba 3.37-3.39
Se 0.5000 0.5000 0.8740  6 Ba 3.37-3.39
Ba 0.5000 0.5000 0.3742  4 Mn 3.37, 2 Se 3.38-3.39
Ba 0.0000 0.0000 0.8756  4 Se 3.37, 2 Mn 3.38-3.39